w:
The following is a DFT calculation (PBEsol) of a relaxed Ca2Y crystal.

Cell lengths 3.6989, 7.0838, 8.9414 Å; angles 105.71, 90.00, 105.13 degrees
Closest atoms and distances in Å follow each position.
Element x y z (fractional)
Y (0.2017, 0.4034, 0.1241)  4 Y 3.43-3.70, 7 Ca 3.66-3.75
Y (0.7983, 0.5966, 0.8759)  4 Y 3.43-3.70, 7 Ca 3.66-3.75
Ca (0.5219, 0.0438, 0.8122)  7 Ca 3.57-3.82, 5 Y 3.66-3.75
Ca (0.8571, 0.7142, 0.4647)  9 Ca 3.67-3.82, 3 Y 3.69-3.98
Ca (0.1429, 0.2858, 0.5353)  9 Ca 3.67-3.82, 3 Y 3.69-3.98
Ca (0.4781, 0.9562, 0.1878)  7 Ca 3.57-3.82, 5 Y 3.66-3.75

Properties
As for the crystal system: monoclinic. The symmetry is C2/m (12).

---

x:
The following is a DFT calculation (PBEsol) of a relaxed Ca2Y crystal.

Cell lengths 3.7126, 5.9373, 10.0096 Å; angles 90.00, 100.69, 90.00 degrees
Closest atoms and distances in Å follow each position.
Element x y z (fractional)
Y (0.2747, 0.7500, 0.5494)  6 Ca 3.60-3.75, 6 Y 3.63-3.71
Y (0.7253, 0.2500, 0.4506)  6 Ca 3.60-3.75, 6 Y 3.63-3.71
Ca (0.6181, 0.7500, 0.2362)  4 Y 3.60-3.64, 8 Ca 3.68-3.96
Ca (0.9402, 0.7500, 0.8805)  10 Ca 3.68-3.96, 2 Y 3.75
Ca (0.0598, 0.2500, 0.1195)  10 Ca 3.68-3.96, 2 Y 3.75
Ca (0.3819, 0.2500, 0.7638)  4 Y 3.60-3.64, 8 Ca 3.68-3.96

Properties
As for the crystal system: orthorhombic. The symmetry is Cmcm (63).

---

Calculated relative energies: w 1.3; x 0.0, given in kJ/mol of atoms